{
  "formula": "Dy4I3NCl2",
  "functional": "PBE",
  "state": "relaxed",
  "lattice_angstrom": [[-1.601, 8.780, -2.304], [-3.877, 8.330, 0.735], [6.569, 1.048, 5.073]],
  "species": ["Cl", "Cl", "Dy", "Dy", "Dy", "Dy", "I", "I", "I", "N"],
  "fractional_positions": [[0.149, 0.149, 0.298], [0.851, 0.851, 0.702], [0.631, 0.631, 0.060], [0.998, 0.998, 0.190], [0.002, 0.002, 0.810], [0.369, 0.369, 0.940], [0.825, 0.825, 0.196], [0.500, 0.500, 0.500], [0.175, 0.175, 0.804], [0.500, 0.500, 0.000]],
  "energy_ev_per_cell": -50.00,
  "magnetic_moment_mub_per_fu": 0.00
}